(1)
# CsLaTh

CsLaTh after structural relaxation (GGA-PBE, OQMD via LeMat-Bulk).

Output
- Final energy: -9.08 eV for the cell shown

The structure in POSCAR format:
```
CsLaTh
1.0
0.0000 3.9410 3.9410
3.9410 0.0000 3.9410
3.9410 3.9410 0.0000
Cs La Th
1 1 1
direct
0.0000 0.0000 0.0000 Cs
0.7500 0.7500 0.7500 La
0.2500 0.2500 0.2500 Th
```

=====

(2)
# CsLaW

CsLaW after structural relaxation (GGA-PBE, OQMD via LeMat-Bulk).

Output
- Polymorph energy (0 for the lowest one): 0.000 eV/atom

The structure in POSCAR format:
```
CsLaW
1.0
0.0000 3.7484 3.7484
3.7484 0.0000 3.7484
3.7484 3.7484 0.0000
Cs La W
1 1 1
direct
0.0000 0.0000 0.0000 Cs
0.5000 0.5000 0.5000 La
0.2500 0.2500 0.2500 W
```

=====

(3)
# CsLaW

CsLaW after structural relaxation (GGA-PBE, OQMD via LeMat-Bulk).

Output
- Polymorph energy (0 for the lowest one): 0.407 eV/atom

The structure in POSCAR format:
```
CsLaW
1.0
0.0000 3.6563 3.6563
3.6563 0.0000 3.6563
3.6563 3.6563 0.0000
Cs La W
1 1 1
direct
0.0000 0.0000 0.0000 Cs
0.7500 0.7500 0.7500 La
0.2500 0.2500 0.2500 W
```

=====

(4)
# CsLaZn

CsLaZn after structural relaxation (GGA-PBE, OQMD via LeMat-Bulk).

Output
- Final energy: -4.60 eV for the cell shown

The structure in POSCAR format:
```
CsLaZn
1.0
0.0000 3.7394 3.7394
3.7394 0.0000 3.7394
3.7394 3.7394 0.0000
Cs La Zn
1 1 1
direct
0.0000 0.0000 0.0000 Cs
0.7500 0.7500 0.7500 La
0.2500 0.2500 0.2500 Zn
```

=====

(5)
# CsLaZn

CsLaZn after structural relaxation (GGA-PBE, OQMD via LeMat-Bulk).

Output
- Final energy: -5.05 eV for the cell shown

The structure in POSCAR format:
```
CsLaZn
1.0
0.0000 3.7773 3.7773
3.7773 0.0000 3.7773
3.7773 3.7773 0.0000
Cs La Zn
1 1 1
direct
0.0000 0.0000 0.0000 Cs
0.2500 0.2500 0.2500 La
0.5000 0.5000 0.5000 Zn
```

=====

(6)
# CsLaZr

CsLaZr after structural relaxation (GGA-PBE, OQMD via LeMat-Bulk).

Output
- Polymorph energy (0 for the lowest one): 0.143 eV/atom

The structure in POSCAR format:
```
CsLaZr
1.0
0.0000 3.7820 3.7820
3.7820 0.0000 3.7820
3.7820 3.7820 0.0000
Cs La Zr
1 1 1
direct
0.0000 0.0000 0.0000 Cs
0.7500 0.7500 0.7500 La
0.2500 0.2500 0.2500 Zr
```

=====

(7)
# CsLaZr

CsLaZr after structural relaxation (GGA-PBE, OQMD via LeMat-Bulk).

Output
- Polymorph energy (0 for the lowest one): 0.000 eV/atom

The structure in POSCAR format:
```
CsLaZr
1.0
0.0000 4.1041 4.1041
4.1041 0.0000 4.1041
4.1041 4.1041 0.0000
Cs La Zr
1 1 1
direct
0.0000 0.0000 0.0000 Cs
0.5000 0.5000 0.5000 La
0.2500 0.2500 0.2500 Zr
```

=====

(8)
# CsLiMo

CsLiMo after structural relaxation (GGA-PBE, OQMD via LeMat-Bulk).

Output
- Final energy: -8.45 eV for the cell shown

The structure in POSCAR format:
```
CsLiMo
1.0
0.0000 3.9192 3.9192
3.9192 0.0000 3.9192
3.9192 3.9192 0.0000
Cs Li Mo
1 1 1
direct
0.0000 0.0000 0.0000 Cs
0.2500 0.2500 0.2500 Li
0.5000 0.5000 0.5000 Mo
```

=====

(9)
# CsLiNiMo

CsLiNiMo after structural relaxation (GGA-PBE, OQMD via LeMat-Bulk).

Output
- Polymorph energy (0 for the lowest one): 0.045 eV/atom

The structure in POSCAR format:
```
CsLiNiMo
1.0
0.0000 3.5260 3.5260
3.5260 0.0000 3.5260
3.5260 3.5260 0.0000
Cs Li Ni Mo
1 1 1 1
direct
0.0000 0.0000 0.0000 Cs
0.7500 0.7500 0.7500 Li
0.2500 0.2500 0.2500 Ni
0.5000 0.5000 0.5000 Mo
```

=====

(10)
# CsLiNiMo

CsLiNiMo after structural relaxation (GGA-PBE, OQMD via LeMat-Bulk).

Output
- Polymorph energy (0 for the lowest one): 0.000 eV/atom

The structure in POSCAR format:
```
CsLiNiMo
1.0
0.0000 3.3221 3.3221
3.3221 0.0000 3.3221
3.3221 3.3221 0.0000
Cs Li Ni Mo
1 1 1 1
direct
0.0000 0.0000 0.0000 Cs
0.2500 0.2500 0.2500 Li
0.5000 0.5000 0.5000 Ni
0.7500 0.7500 0.7500 Mo
```

=====

(11)
# CsLiNiMo

CsLiNiMo after structural relaxation (GGA-PBE, OQMD via LeMat-Bulk).

Output
- Polymorph energy (0 for the lowest one): 0.225 eV/atom

The structure in POSCAR format:
```
CsLiNiMo
1.0
0.0000 3.4357 3.4357
3.4357 0.0000 3.4357
3.4357 3.4357 0.0000
Cs Li Ni Mo
1 1 1 1
direct
0.0000 0.0000 0.0000 Cs
0.5000 0.5000 0.5000 Li
0.7500 0.7500 0.7500 Ni
0.2500 0.2500 0.2500 Mo
```

=====

(12)
# CsLiMoS4

CsLiMoS4 after structural relaxation (GGA-PBE, OQMD via LeMat-Bulk).

Output
- Final energy: -35.81 eV for the cell shown

The structure in POSCAR format:
```
CsLiMoS4
1.0
0.0000 5.2088 5.2088
5.2088 0.0000 5.2088
5.2088 5.2088 0.0000
Cs Li Mo S
1 1 1 4
direct
0.0000 0.0000 0.0000 Cs
0.2500 0.2500 0.2500 Li
0.5000 0.5000 0.5000 Mo
0.3788 0.3788 0.3788 S
0.3788 0.3788 0.8637 S
0.3788 0.8637 0.3788 S
0.8637 0.3788 0.3788 S
```

=====

(13)
# Cs2Li2Te4Mo

Cs2Li2Te4Mo after structural relaxation (GGA-PBE, OQMD via LeMat-Bulk).

Output
- Final energy: -35.22 eV for the cell shown

The structure in POSCAR format:
```
Cs2Li2Te4Mo
1.0
3.3531 -7.4785 0.0000
3.3531 7.4785 0.0000
0.0000 0.0000 6.6810
Cs Li Te Mo
2 2 4 1
direct
0.0000 0.5000 0.2408 Cs
0.5000 0.0000 0.7592 Cs
0.0000 0.0000 0.0000 Li
0.5000 0.5000 0.5000 Li
0.1315 0.3304 0.7300 Te
0.3304 0.1315 0.2700 Te
0.6696 0.8685 0.2700 Te
0.8685 0.6696 0.7300 Te
0.0000 0.0000 0.5000 Mo
```

=====

(14)
# CsLiNb

CsLiNb after structural relaxation (GGA-PBE, OQMD via LeMat-Bulk).

Output
- Polymorph energy (0 for the lowest one): 0.000 eV/atom

The structure in POSCAR format:
```
CsLiNb
1.0
0.0000 3.9448 3.9448
3.9448 0.0000 3.9448
3.9448 3.9448 0.0000
Cs Li Nb
1 1 1
direct
0.0000 0.0000 0.0000 Cs
0.2500 0.2500 0.2500 Li
0.5000 0.5000 0.5000 Nb
```

=====

(15)
# CsLiNb

CsLiNb after structural relaxation (GGA-PBE, OQMD via LeMat-Bulk).

Output
- Polymorph energy (0 for the lowest one): 0.290 eV/atom

The structure in POSCAR format:
```
CsLiNb
1.0
0.0000 4.0642 4.0642
4.0642 0.0000 4.0642
4.0642 4.0642 0.0000
Cs Li Nb
1 1 1
direct
0.0000 0.0000 0.0000 Cs
0.7500 0.7500 0.7500 Li
0.2500 0.2500 0.2500 Nb
```

=====

(16)
# CsLiNb

CsLiNb after structural relaxation (GGA-PBE, OQMD via LeMat-Bulk).

Output
- Polymorph energy (0 for the lowest one): 0.130 eV/atom

The structure in POSCAR format:
```
CsLiNb
1.0
2.7553 1.5908 2.8614
-2.7553 1.5908 2.8614
0.0000 -3.1816 2.8614
Cs Li Nb
1 1 1
direct
0.0000 0.0000 0.0000 Cs
0.3455 0.3455 0.3455 Li
0.6678 0.6678 0.6678 Nb
```

=====

(17)
# CsLi6NbO6

CsLi6NbO6 after structural relaxation (GGA-PBE, OQMD via LeMat-Bulk).

Output
- Final energy: -80.99 eV for the cell shown

The structure in POSCAR format:
```
CsLi6NbO6
1.0
4.1542 2.3985 2.4451
-4.1542 2.3985 2.4451
0.0000 -4.7969 2.4451
Cs Li Nb O
1 6 1 6
direct
0.0000 0.0000 0.0000 Cs
0.1576 0.5000 0.8424 Li
0.1576 0.8424 0.5000 Li
0.5000 0.1576 0.8424 Li
0.5000 0.8424 0.1576 Li
0.8424 0.1576 0.5000 Li
0.8424 0.5000 0.1576 Li
0.5000 0.5000 0.5000 Nb
0.2294 0.2294 0.5857 O
0.2294 0.5857 0.2294 O
0.4143 0.7706 0.7706 O
0.5857 0.2294 0.2294 O
0.7706 0.4143 0.7706 O
0.7706 0.7706 0.4143 O
```

=====

(18)
# Cs2LiNbS4

Cs2LiNbS4 after structural relaxation (GGA-PBE, OQMD via LeMat-Bulk).

Output
- Final energy: -80.75 eV for the cell shown

The structure in POSCAR format:
```
Cs2LiNbS4
1.0
0.0000 7.0515 12.4399
2.9994 0.0000 12.4399
2.9994 7.0515 0.0000
Cs Li Nb S
4 2 2 8
direct
0.0522 0.0522 0.6978 Cs
0.3022 0.3022 0.9478 Cs
0.6978 0.6978 0.0522 Cs
0.9478 0.9478 0.3022 Cs
0.3750 0.3750 0.3750 Li
0.6250 0.6250 0.6250 Li
0.1250 0.1250 0.1250 Nb
0.8750 0.8750 0.8750 Nb
0.0425 0.3117 0.3936 S
0.2478 0.6064 0.6883 S
0.3117 0.0425 0.7522 S
0.3936 0.7522 0.0425 S
0.6064 0.2478 0.9575 S
0.6883 0.9575 0.2478 S
0.7522 0.3936 0.3117 S
0.9575 0.6883 0.6064 S
```

=====

(19)
# CsLiNd

CsLiNd after structural relaxation (GGA-PBE, OQMD via LeMat-Bulk).

Output
- Polymorph energy (0 for the lowest one): 0.000 eV/atom

The structure in POSCAR format:
```
CsLiNd
1.0
0.0000 4.1100 4.1100
4.1100 0.0000 4.1100
4.1100 4.1100 0.0000
Cs Li Nd
1 1 1
direct
0.0000 0.0000 0.0000 Cs
0.2500 0.2500 0.2500 Li
0.5000 0.5000 0.5000 Nd
```

=====

(20)
# CsLiNd

CsLiNd after structural relaxation (GGA-PBE, OQMD via LeMat-Bulk).

Output
- Polymorph energy (0 for the lowest one): 0.226 eV/atom

The structure in POSCAR format:
```
CsLiNd
1.0
0.0000 3.7731 3.7731
3.7731 0.0000 3.7731
3.7731 3.7731 0.0000
Cs Li Nd
1 1 1
direct
0.0000 0.0000 0.0000 Cs
0.7500 0.7500 0.7500 Li
0.2500 0.2500 0.2500 Nd
```

=====

(21)
# CsLiNi

CsLiNi after structural relaxation (GGA-PBE, OQMD via LeMat-Bulk).

Output
- Final energy: -6.11 eV for the cell shown

The structure in POSCAR format:
```
CsLiNi
1.0
0.0000 3.5794 3.5794
3.5794 0.0000 3.5794
3.5794 3.5794 0.0000
Cs Li Ni
1 1 1
direct
0.0000 0.0000 0.0000 Cs
0.5000 0.5000 0.5000 Li
0.2500 0.2500 0.2500 Ni
```

=====

(22)
# CsLiNp

CsLiNp after structural relaxation (GGA-PBE, OQMD via LeMat-Bulk).

Output
- Polymorph energy (0 for the lowest one): 0.000 eV/atom

The structure in POSCAR format:
```
CsLiNp
1.0
0.0000 4.1400 4.1400
4.1400 0.0000 4.1400
4.1400 4.1400 0.0000
Cs Li Np
1 1 1
direct
0.0000 0.0000 0.0000 Cs
0.2500 0.2500 0.2500 Li
0.5000 0.5000 0.5000 Np
```

=====

(23)
# CsLiNpS3

CsLiNpS3 after structural relaxation (GGA-PBE, OQMD via LeMat-Bulk).

Output
- Final energy: -72.73 eV for the cell shown

The structure in POSCAR format:
```
CsLiNpS3
1.0
2.0523 -7.5063 0.0000
2.0523 7.5063 0.0000
0.0000 0.0000 10.4675
Cs Li Np S
2 2 2 6
direct
0.2393 0.7607 0.7500 Cs
0.7607 0.2393 0.2500 Cs
0.0400 0.9600 0.2500 Li
0.9600 0.0400 0.7500 Li
0.5000 0.5000 0.0000 Np
0.5000 0.5000 0.5000 Np
0.1123 0.8877 0.0458 S
0.1123 0.8877 0.4542 S
0.4562 0.5438 0.2500 S
0.5438 0.4562 0.7500 S
0.8877 0.1123 0.5458 S
0.8877 0.1123 0.9542 S
```

=====

(24)
# Cs2Li2PtO4

Cs2Li2PtO4 after structural relaxation (GGA-PBE, OQMD via LeMat-Bulk).

Output
- Final energy: -84.44 eV for the cell shown

The structure in POSCAR format:
```
Cs2Li2PtO4
1.0
5.5495 0.0000 0.0000
0.7795 6.1489 0.0000
2.4030 2.1722 8.8873
Cs Li Pt O
4 4 2 8
direct
0.1795 0.0428 0.2781 Cs
0.2326 0.6973 0.0157 Cs
0.7674 0.3027 0.9843 Cs
0.8205 0.9572 0.7219 Cs
0.1883 0.4066 0.4375 Li
0.3964 0.8251 0.5763 Li
0.6036 0.1749 0.4237 Li
0.8117 0.5934 0.5625 Li
0.3271 0.3697 0.7045 Pt
0.6729 0.6303 0.2955 Pt
0.1753 0.6111 0.5625 O
0.2879 0.1465 0.5901 O
0.3435 0.1674 0.8905 O
0.4972 0.3931 0.2616 O
0.5028 0.6069 0.7384 O
0.6565 0.8326 0.1095 O
0.7121 0.8535 0.4099 O
0.8247 0.3889 0.4375 O
```

=====

(25)
# Cs2Rb2LiReO6

Cs2Rb2LiReO6 after structural relaxation (GGA-PBE, OQMD via LeMat-Bulk).

Output
- Polymorph energy (0 for the lowest one): 0.000 eV/atom

The structure in POSCAR format:
```
Cs2Rb2LiReO6
1.0
3.2593 -5.8083 0.0000
3.2593 5.8083 0.0000
-3.1849 0.0000 5.7432
Cs Rb Li Re O
2 2 1 1 6
direct
0.1754 0.8246 0.0000 Cs
0.8246 0.1754 0.0000 Cs
0.1672 0.8328 0.5000 Rb
0.8328 0.1672 0.5000 Rb
0.5000 0.5000 0.0000 Li
0.5000 0.5000 0.5000 Re
0.1679 0.1679 0.3349 O
0.3814 0.6092 0.7132 O
0.3908 0.6186 0.2868 O
0.6092 0.3814 0.7132 O
0.6186 0.3908 0.2868 O
0.8321 0.8321 0.6651 O
```

=====

(26)
# CsLiPa

CsLiPa after structural relaxation (GGA-PBE, OQMD via LeMat-Bulk).

Output
- Polymorph energy (0 for the lowest one): 0.099 eV/atom

The structure in POSCAR format:
```
CsLiPa
1.0
0.0000 3.5310 3.5310
3.5310 0.0000 3.5310
3.5310 3.5310 0.0000
Cs Li Pa
1 1 1
direct
0.0000 0.0000 0.0000 Cs
0.2500 0.2500 0.2500 Li
0.7500 0.7500 0.7500 Pa
```

=====

(27)
# CsLiPa

CsLiPa after structural relaxation (GGA-PBE, OQMD via LeMat-Bulk).

Output
- Polymorph energy (0 for the lowest one): 0.000 eV/atom

The structure in POSCAR format:
```
CsLiPa
1.0
0.0000 3.9287 3.9287
3.9287 0.0000 3.9287
3.9287 3.9287 0.0000
Cs Li Pa
1 1 1
direct
0.0000 0.0000 0.0000 Cs
0.2500 0.2500 0.2500 Li
0.5000 0.5000 0.5000 Pa
```

=====

(28)
# CsLiPaS3

CsLiPaS3 after structural relaxation (GGA-PBE, OQMD via LeMat-Bulk).

Output
- Final energy: -67.71 eV for the cell shown

The structure in POSCAR format:
```
CsLiPaS3
1.0
2.0597 -7.5339 0.0000
2.0597 7.5339 0.0000
0.0000 0.0000 10.6332
Cs Li Pa S
2 2 2 6
direct
0.2375 0.7625 0.7500 Cs
0.7625 0.2375 0.2500 Cs
0.0397 0.9603 0.2500 Li
0.9603 0.0397 0.7500 Li
0.5000 0.5000 0.0000 Pa
0.5000 0.5000 0.5000 Pa
0.1144 0.8856 0.0499 S
0.1144 0.8856 0.4501 S
0.4543 0.5457 0.2500 S
0.5457 0.4543 0.7500 S
0.8856 0.1144 0.5499 S
0.8856 0.1144 0.9501 S
```

=====

Number 1: theoretical density 6.834 g cm⁻³. Number 2: theoretical density 7.183 g cm⁻³. Number 3: theoretical density 7.740 g cm⁻³. Number 4: theoretical density 5.355 g cm⁻³. Number 5: theoretical density 5.195 g cm⁻³. Number 6: theoretical density 5.572 g cm⁻³. Number 7: theoretical density 4.360 g cm⁻³. Number 8: theoretical density 3.252 g cm⁻³. Number 9: theoretical density 5.578 g cm⁻³. Number 10: theoretical density 6.668 g cm⁻³. Number 11: theoretical density 6.029 g cm⁻³. Number 12: theoretical density 2.139 g cm⁻³. Number 13: theoretical density 4.391 g cm⁻³. Number 14: theoretical density 3.148 g cm⁻³. Number 15: theoretical density 2.879 g cm⁻³. Number 16: theoretical density 5.136 g cm⁻³. Number 17: theoretical density 4.129 g cm⁻³. Number 18: theoretical density 3.117 g cm⁻³. Number 19: theoretical density 3.397 g cm⁻³. Number 20: theoretical density 4.391 g cm⁻³. Number 21: theoretical density 3.594 g cm⁻³. Number 22: theoretical density 4.409 g cm⁻³. Number 23: theoretical density 4.871 g cm⁻³. Number 24: theoretical density 5.900 g cm⁻³. Number 25: theoretical density 5.543 g cm⁻³. Number 26: theoretical density 6.995 g cm⁻³. Number 27: theoretical density 5.078 g cm⁻³. Number 28: theoretical density 4.700 g cm⁻³.